(i)
LaY12Tm7 | PBE | relaxed

a b c (Å): 11.335 11.335 11.335
angles (deg): 90.00 90.00 90.00
Space group Im-3 (No. 204)
Inequivalent atoms, fractional coordinates:
La 0.000 0.000 0.000 [2 per cell]
Y 0.000 0.259 0.258 [24 per cell]
Tm 0.000 0.000 0.500 [6 per cell]
Tm 0.250 0.250 0.250 [8 per cell]

(ii)
LaY12Tm7 | PBE | relaxed

a b c (Å): 15.0518 15.0518 9.9141
angles (deg): 90.00 90.00 120.00
Space group R-3 (No. 148, hexagonal axes)
Inequivalent atoms, fractional coordinates:
La 0.0000 0.0000 0.0000 [3 per cell]
Y 0.0375 0.2512 0.5762 [18 per cell]
Y 0.0462 0.1970 0.2554 [18 per cell]
Tm 0.0000 0.0000 0.5000 [3 per cell]
Tm 0.0708 0.2477 0.9285 [18 per cell]

Quick one: most stable of them? (ii)

(i)
La2Y4Tm5 | PBE | relaxed

a b c (Å): 3.472 11.578 18.366
angles (deg): 90.00 90.00 90.00
Space group Immm (No. 71)
Inequivalent atoms, fractional coordinates:
La 0.000 0.000 0.202 [4 per cell]
Y 0.000 0.000 0.409 [4 per cell]
Y 0.000 0.272 0.000 [4 per cell]
Tm 0.000 0.287 0.178 [8 per cell]
Tm 0.000 0.500 0.500 [2 per cell]

(ii)
La2Y4Tm5 | PBE | relaxed

a b c (Å): 24.001 3.584 9.079
angles (deg): 90.00 111.94 90.00
Space group C2/m (No. 12)
Inequivalent atoms, fractional coordinates:
La 0.113 0.000 0.427 [4 per cell]
Y 0.042 0.000 0.710 [4 per cell]
Y 0.184 0.500 0.841 [4 per cell]
Tm 0.000 0.500 0.000 [2 per cell]
Tm 0.130 0.000 0.075 [4 per cell]
Tm 0.234 0.500 0.337 [4 per cell]

Quick one: most stable of them? (ii)

(i)
La2Y3Tm3 | PBE | relaxed

a b c (Å): 3.595 17.669 16.738
angles (deg): 90.00 90.00 90.00
Space group Cmcm (No. 63)
Inequivalent atoms, fractional coordinates:
La 0.000 0.219 0.152 [8 per cell]
Y 0.000 0.359 0.016 [8 per cell]
Y 0.000 0.393 0.250 [4 per cell]
Tm 0.000 0.006 0.100 [8 per cell]
Tm 0.000 0.423 0.750 [4 per cell]

(ii)
La2Y3Tm3 | PBE | relaxed

a b c (Å): 16.253 5.825 5.976
angles (deg): 90.00 111.40 90.00
Space group C2/m (No. 12)
Inequivalent atoms, fractional coordinates:
La 0.249 0.000 0.300 [4 per cell]
Y 0.000 0.500 0.500 [2 per cell]
Y 0.125 0.500 0.088 [4 per cell]
Tm 0.000 0.000 0.000 [2 per cell]
Tm 0.124 0.000 0.660 [4 per cell]

Quick one: most stable of them? (ii)

(i)
LaY6Tm4 | PBE | relaxed

a b c (Å): 9.0864 9.0864 5.2944
angles (deg): 90.00 90.00 120.00
Space group P-6m2 (No. 187)
Inequivalent atoms, fractional coordinates:
La 0.0000 0.0000 0.0000 [1 per cell]
Y 0.2066 0.4131 0.5000 [3 per cell]
Y 0.5351 0.0702 0.0000 [3 per cell]
Tm 0.3333 0.6667 0.0000 [1 per cell]
Tm 0.4118 0.2059 0.5000 [3 per cell]

(ii)
LaY6Tm4 | PBE | relaxed

a b c (Å): 5.665 9.753 25.740
angles (deg): 90.00 90.00 90.00
Space group Cmcm (No. 63)
Inequivalent atoms, fractional coordinates:
La 0.000 0.171 0.250 [4 per cell]
Y 0.000 0.161 0.679 [8 per cell]
Y 0.000 0.172 0.099 [8 per cell]
Y 0.000 0.495 0.750 [4 per cell]
Y 0.000 0.500 0.000 [4 per cell]
Tm 0.000 0.165 0.541 [8 per cell]
Tm 0.000 0.494 0.621 [8 per cell]

Quick one: most stable of them? (ii)

(i)
LaY6Tm8 | PBE | relaxed

a b c (Å): 9.4697 9.4697 6.3769
angles (deg): 90.00 90.00 120.00
Space group P-3 (No. 147)
Inequivalent atoms, fractional coordinates:
La 0.0000 0.0000 0.0000 [1 per cell]
Y 0.1094 0.4248 0.0840 [6 per cell]
Tm 0.0228 0.6842 0.4150 [6 per cell]
Tm 0.3333 0.6667 0.6456 [2 per cell]

(ii)
LaY6Tm8 | PBE | relaxed

a b c (Å): 8.9900 8.9900 20.5324
angles (deg): 90.00 90.00 120.00
Space group R-3 (No. 148, hexagonal axes)
Inequivalent atoms, fractional coordinates:
La 0.0000 0.0000 0.0000 [3 per cell]
Y 0.0609 0.8158 0.7085 [18 per cell]
Tm 0.0000 0.0000 0.4238 [6 per cell]
Tm 0.0802 0.5267 0.8087 [18 per cell]

Quick one: most stable of them? (ii)

(i)
La2Y12Tm5 | PBE | relaxed

a b c (Å): 15.742 9.315 8.548
angles (deg): 90.00 90.91 90.00
Space group C2/m (No. 12)
Inequivalent atoms, fractional coordinates:
La 0.000 0.186 0.000 [4 per cell]
Y 0.059 0.000 0.325 [4 per cell]
Y 0.094 0.500 0.880 [4 per cell]
Y 0.126 0.192 0.647 [8 per cell]
Y 0.158 0.320 0.243 [8 per cell]
Tm 0.000 0.500 0.500 [2 per cell]
Tm 0.197 0.000 0.008 [4 per cell]
Tm 0.232 0.500 0.578 [4 per cell]

(ii)
La2Y12Tm5 | PBE | relaxed

a b c (Å): 6.171 9.458 10.707
angles (deg): 79.10 84.54 89.94
Space group P-1 (No. 2)
Inequivalent atoms, fractional coordinates:
La 0.103 0.421 0.367 [2 per cell]
Y 0.054 0.209 0.688 [2 per cell]
Y 0.159 0.632 0.052 [2 per cell]
Y 0.213 0.844 0.740 [2 per cell]
Y 0.264 0.051 0.420 [2 per cell]
Y 0.316 0.261 0.102 [2 per cell]
Y 0.422 0.686 0.471 [2 per cell]
Tm 0.000 0.000 0.000 [1 per cell]
Tm 0.370 0.473 0.792 [2 per cell]
Tm 0.474 0.896 0.155 [2 per cell]

Quick one: most stable of them? (ii)

(i)
La8Y2Tm | PBE | relaxed

a b c (Å): 5.810 8.203 16.606
angles (deg): 90.00 90.00 90.00
Space group Immm (No. 71)
Inequivalent atoms, fractional coordinates:
La 0.000 0.000 0.164 [4 per cell]
La 0.000 0.199 0.368 [8 per cell]
La 0.000 0.289 0.000 [4 per cell]
Y 0.000 0.500 0.202 [4 per cell]
Tm 0.000 0.500 0.500 [2 per cell]

(ii)
La8Y2Tm | PBE | relaxed

a b c (Å): 9.276 16.920 6.063
angles (deg): 90.00 124.05 90.00
Space group C2/m (No. 12)
Inequivalent atoms, fractional coordinates:
La 0.000 0.205 0.000 [4 per cell]
La 0.081 0.500 0.800 [4 per cell]
La 0.214 0.119 0.686 [8 per cell]
Y 0.000 0.311 0.500 [4 per cell]
Tm 0.000 0.000 0.000 [2 per cell]

Quick one: most stable of them? (i)

(i)
La6Y4Tm | PBE | relaxed

a b c (Å): 5.921 9.907 26.351
angles (deg): 90.00 90.00 90.00
Space group Cmcm (No. 63)
Inequivalent atoms, fractional coordinates:
La 0.000 0.000 0.000 [4 per cell]
La 0.000 0.039 0.250 [4 per cell]
La 0.000 0.311 0.600 [8 per cell]
La 0.000 0.364 0.183 [8 per cell]
Y 0.000 0.029 0.125 [8 per cell]
Y 0.000 0.344 0.046 [8 per cell]
Tm 0.000 0.300 0.750 [4 per cell]

(ii)
La6Y4Tm | PBE | relaxed

a b c (Å): 7.000 7.000 16.078
angles (deg): 90.00 90.00 90.00
Space group I-42m (No. 121)
Inequivalent atoms, fractional coordinates:
La 0.000 0.500 0.000 [4 per cell]
La 0.192 0.192 0.181 [8 per cell]
Y 0.170 0.170 0.397 [8 per cell]
Tm 0.000 0.000 0.000 [2 per cell]

Quick one: most stable of them? (i)

(i)
La2YTm4 | PBE | relaxed

a b c (Å): 7.095 8.666 8.833
angles (deg): 114.38 101.79 101.94
Space group P1 (No. 1)
Inequivalent atoms, fractional coordinates:
La 0.000 0.000 0.000 [1 per cell]
La 0.063 0.729 0.577 [1 per cell]
La 0.187 0.333 0.454 [1 per cell]
La 0.485 0.995 0.997 [1 per cell]
Y 0.401 0.461 0.158 [1 per cell]
Y 0.712 0.154 0.719 [1 per cell]
Tm 0.098 0.558 0.866 [1 per cell]
Tm 0.214 0.158 0.726 [1 per cell]
Tm 0.296 0.887 0.324 [1 per cell]
Tm 0.574 0.734 0.589 [1 per cell]
Tm 0.600 0.555 0.863 [1 per cell]
Tm 0.686 0.329 0.450 [1 per cell]
Tm 0.792 0.889 0.321 [1 per cell]
Tm 0.891 0.450 0.148 [1 per cell]

(ii)
La2YTm4 | PBE | relaxed

a b c (Å): 6.045 8.525 9.562
angles (deg): 88.19 77.71 72.00
Space group P1 (No. 1)
Inequivalent atoms, fractional coordinates:
La 0.000 0.000 0.000 [1 per cell]
La 0.009 0.111 0.649 [1 per cell]
La 0.729 0.963 0.378 [1 per cell]
La 0.848 0.513 0.509 [1 per cell]
Y 0.096 0.581 0.152 [1 per cell]
Y 0.880 0.454 0.877 [1 per cell]
Tm 0.199 0.167 0.281 [1 per cell]
Tm 0.281 0.735 0.448 [1 per cell]
Tm 0.325 0.641 0.800 [1 per cell]
Tm 0.409 0.320 0.582 [1 per cell]
Tm 0.449 0.232 0.931 [1 per cell]
Tm 0.533 0.791 0.095 [1 per cell]
Tm 0.638 0.379 0.228 [1 per cell]
Tm 0.714 0.852 0.740 [1 per cell]

Quick one: most stable of them? (i)